Tb2Mo2C3: optimized geometry, PBE.

Computed properties:
total magnetic moment	0.00	Bohr magnetons per cell
crystal system	monoclinic
E_tot	-8.69	eV per atom

The structure in CIF format:
```
data_Tb2Mo2C3
_space_group_name_H-M_alt 'C 1 2/m 1'
_space_group_IT_number 12
_cell_length_a 11.320
_cell_length_b 3.410
_cell_length_c 5.732
_cell_angle_alpha 90.00
_cell_angle_beta 107.51
_cell_angle_gamma 90.00
loop_
_space_group_symop_operation_xyz
'x,y,z'
'-x,-y,-z'
'-x,y,-z'
'x,-y,z'
'x+1/2,y+1/2,z'
'-x+1/2,-y+1/2,-z'
'-x+1/2,y+1/2,-z'
'x+1/2,-y+1/2,z'
loop_
_atom_site_label
_atom_site_type_symbol
_atom_site_fract_x
_atom_site_fract_y
_atom_site_fract_z
_atom_site_occupancy
Tb1 Tb 0.113 0.000 0.322 1
Mo1 Mo 0.151 0.500 0.876 1
C1 C 0.000 0.500 0.000 1
C2 C 0.228 0.000 0.760 1
```